[1]
Below is crystalline Ga2FeC at its relaxed geometry, with properties calculated at the PBE-GGA level.

Cell and atoms, written as POSCAR:
```
Ga2FeC
1.0
0.000 2.886 2.886
2.886 0.000 2.886
2.886 2.886 0.000
C Ga Fe
1 2 1
Direct
0.000 0.000 0.000
0.250 0.250 0.250
0.750 0.750 0.750
0.500 0.500 0.500
```

Results
As for the space-group type: No. 225. The calculated total energy comes out at -18.8 eV per cell. The density of states at the Fermi level is 2.5 states/eV/cell. As for the crystal system: cubic. For the total magnetic moment, the calculation gives 0.00 Bohr magnetons per cell.


[2]
Below is crystalline Ga2Fe6C at its relaxed geometry, with properties calculated at the PBE-GGA level.

Cell and atoms, written as POSCAR:
```
Ga2Fe6C
1.0
-2.607 -2.140 -1.705
2.662 -1.437 -2.266
1.197 -5.212 4.712
C Ga Fe
1 2 6
Direct
0.500 0.500 0.000
0.000 0.000 0.252
0.000 0.000 0.748
0.500 0.000 0.500
0.000 0.500 0.500
0.500 0.500 0.270
0.500 0.000 0.000
0.500 0.500 0.730
0.000 0.500 0.000
```

Results
As for the space-group type: No. 123. The calculated total energy comes out at -66.8 eV per cell. The density of states at the Fermi level is 6.1 states/eV/cell. As for the crystal system: tetragonal. For the total magnetic moment, the calculation gives 10.28 Bohr magnetons per cell.


[3]
Below is crystalline Ho2Ga2Fe2C at its relaxed geometry, with properties calculated at the PBE-GGA level.

Cell and atoms, written as POSCAR:
```
Ho2Ga2Fe2C
1.0
3.936 0.000 0.000
1.968 5.364 -0.472
1.968 1.501 5.307
Fe Ga Ho C
2 2 2 1
Direct
0.194 0.699 0.913
0.806 0.301 0.087
0.841 0.611 0.706
0.159 0.389 0.294
0.443 0.830 0.284
0.557 0.170 0.716
0.000 0.000 0.000
```

Results
As for the space-group type: No. 12. The calculated total energy comes out at -44.5 eV per cell. The density of states at the Fermi level is 4.5 states/eV/cell. As for the crystal system: monoclinic. For the total magnetic moment, the calculation gives 0.00 Bohr magnetons per cell.